(1)
This record from OQMD describes Tb6GaNi2 after structural relaxation. The functional is PBE.

Its total energy is -5.01 eV/atom.

The structure belongs to space group Immm (No. 71); the cell edges are 9.251, 9.659 and 10.023 Å and the angles 90.00°, 90.00° and 90.00°. The asymmetric unit holds Tb at (0.000, 0.193, 0.237), Tb at (0.191, 0.500, 0.173), Tb at (0.215, 0.320, 0.500), Ga at (0.000, 0.000, 0.000), Ga at (0.000, 0.000, 0.500), Ni at (0.000, 0.346, 0.000) and Ni at (0.000, 0.500, 0.378).


(2)
This record from OQMD describes TbGa2Ni3 after structural relaxation. The functional is PBE.

Its total energy is -5.12 eV/atom.

The structure belongs to space group P6/mmm (No. 191); the cell edges are 8.9008, 8.9008 and 3.9544 Å and the angles 90.00°, 90.00° and 120.00°. The asymmetric unit holds Tb at (0.0000, 0.0000, 0.0000), Tb at (0.3333, 0.6667, 0.5000), Ga at (0.0000, 0.3158, 0.5000), Ni at (0.0000, 0.5000, 0.0000) and Ni at (0.1802, 0.3605, 0.0000).


(3)
This record from OQMD describes TbGa2Ni3 after structural relaxation. The functional is PBE.

Its total energy is -5.12 eV/atom.

The structure belongs to space group P6/mmm (No. 191); the cell edges are 5.2066, 5.2066 and 3.8394 Å and the angles 90.00°, 90.00° and 120.00°. The asymmetric unit holds Tb at (0.0000, 0.0000, 0.0000), Ga at (0.3333, 0.6667, 0.0000) and Ni at (0.0000, 0.5000, 0.5000).


(4)
This record from OQMD describes TbGa2Ni after structural relaxation. The functional is PBE.

Its total energy is -4.71 eV/atom.

The structure belongs to space group Cmcm (No. 63); the cell edges are 4.139, 10.133 and 6.670 Å and the angles 90.00°, 90.00° and 90.00°. The asymmetric unit holds Tb at (0.000, 0.072, 0.250), Ga at (0.000, 0.356, 0.054) and Ni at (0.000, 0.210, 0.750).


(5)
This record from OQMD describes TbGa2Ni3 after structural relaxation. The functional is PBE.

Its total energy is -5.12 eV/atom.

The structure belongs to space group P6/mmm (No. 191); the cell edges are 8.9426, 8.9426 and 3.9202 Å and the angles 90.00°, 90.00° and 120.00°. The asymmetric unit holds Tb at (0.0000, 0.0000, 0.0000), Tb at (0.3333, 0.6667, 0.5000), Ga at (0.0000, 0.3162, 0.5000), Ni at (0.0000, 0.5000, 0.0000) and Ni at (0.1800, 0.3599, 0.0000).


(6)
This record from OQMD describes TbGa2Ni2 after structural relaxation. The functional is PBE.

Its total energy is -4.92 eV/atom.

The structure belongs to space group I4/mmm (No. 139); the cell edges are 4.092, 4.092 and 9.887 Å and the angles 90.00°, 90.00° and 90.00°. The asymmetric unit holds Tb at (0.000, 0.000, 0.000), Ga at (0.000, 0.000, 0.372) and Ni at (0.000, 0.500, 0.250).


(7)
This record from OQMD describes Tb4Ga12Ni after structural relaxation. The functional is PBE.

Its total energy is -4.13 eV/atom.

The structure belongs to space group Im-3m (No. 229); the cell edges are 8.597, 8.597 and 8.597 Å and the angles 90.00°, 90.00° and 90.00°. The asymmetric unit holds Tb at (0.250, 0.250, 0.250), Ga at (0.000, 0.000, 0.287), Ga at (0.000, 0.250, 0.500) and Ni at (0.000, 0.000, 0.000).


(8)
This record from OQMD describes TbGa6Ni after structural relaxation. The functional is PBE.

Its total energy is -3.74 eV/atom.

The structure belongs to space group P-6m2 (No. 187); the cell edges are 6.2649, 6.2649 and 4.2283 Å and the angles 90.00°, 90.00° and 120.00°. The asymmetric unit holds Tb at (0.0000, 0.0000, 0.0000), Ga at (0.0404, 0.5202, 0.0000), Ga at (0.3791, 0.1895, 0.5000) and Ni at (0.3333, 0.6667, 0.5000).